First-principles (PBE) data for a geometry-optimized YZrTeC structure, as listed in the Open Quantum Materials Database.

```
data_YZrTeC
_cell_length_a 3.675
_cell_length_b 3.675
_cell_length_c 13.800
_cell_angle_alpha 90.00
_cell_angle_beta 90.00
_cell_angle_gamma 120.00
_symmetry_space_group_name_H-M 'P 1'
_symmetry_Int_Tables_number 1
loop_
_symmetry_equiv_pos_as_xyz
'x,y,z'
loop_
_atom_site_label
_atom_site_type_symbol
_atom_site_fract_x
_atom_site_fract_y
_atom_site_fract_z
Y1 Y 0.333 0.667 0.096
Y2 Y 0.667 0.333 0.904
Zr1 Zr 0.333 0.667 0.415
Zr2 Zr 0.667 0.333 0.585
Te1 Te 0.333 0.667 0.735
Te2 Te 0.667 0.333 0.265
C1 C 0.000 0.000 0.000
C2 C 0.000 0.000 0.500
```

magnetic moment = 0.01 μB per formula unit
ρ = 6.58 g/cm3
final energy = -61.648 eV/cell
E above lowest polymorph = 0.00 eV/f.u.

First-principles (PBE) data for a geometry-optimized YZrTeC structure, as listed in the Open Quantum Materials Database.

```
data_YZrTeC
_cell_length_a 3.663
_cell_length_b 3.663
_cell_length_c 13.828
_cell_angle_alpha 90.00
_cell_angle_beta 90.00
_cell_angle_gamma 120.00
_symmetry_space_group_name_H-M 'P 1'
_symmetry_Int_Tables_number 1
loop_
_symmetry_equiv_pos_as_xyz
'x,y,z'
loop_
_atom_site_label
_atom_site_type_symbol
_atom_site_fract_x
_atom_site_fract_y
_atom_site_fract_z
Y1 Y 0.333 0.667 0.000
Y2 Y 0.667 0.333 0.500
Zr1 Zr 0.333 0.667 0.683
Zr2 Zr 0.667 0.333 0.183
Te1 Te 0.333 0.667 0.333
Te2 Te 0.667 0.333 0.833
C1 C 0.000 0.000 0.102
C2 C 0.000 0.000 0.602
```

magnetic moment = 0.00 μB per formula unit
ρ = 6.61 g/cm3
final energy = -61.650 eV/cell
E above lowest polymorph = 0.00 eV/f.u.

First-principles (PBE) data for a geometry-optimized Y3ZrTe2C2 structure, as listed in the Open Quantum Materials Database.

```
data_Y3ZrTe2C2
_cell_length_a 3.749
_cell_length_b 3.749
_cell_length_c 13.940
_cell_angle_alpha 90.00
_cell_angle_beta 90.00
_cell_angle_gamma 120.00
_symmetry_space_group_name_H-M 'P 1'
_symmetry_Int_Tables_number 1
loop_
_symmetry_equiv_pos_as_xyz
'x,y,z'
loop_
_atom_site_label
_atom_site_type_symbol
_atom_site_fract_x
_atom_site_fract_y
_atom_site_fract_z
Y1 Y 0.000 0.000 0.000
Y2 Y 0.000 0.000 0.318
Y3 Y 0.667 0.333 0.811
Zr1 Zr 0.667 0.333 0.498
Te1 Te 0.000 0.000 0.645
Te2 Te 0.667 0.333 0.160
C1 C 0.333 0.667 0.420
C2 C 0.333 0.667 0.903
```

magnetic moment = 0.00 μB per formula unit
ρ = 6.23 g/cm3
final energy = -59.534 eV/cell

First-principles (PBE) data for a geometry-optimized Y3ZrTe2C2 structure, as listed in the Open Quantum Materials Database.

```
data_Y3ZrTe2C2
_cell_length_a 3.750
_cell_length_b 3.750
_cell_length_c 13.946
_cell_angle_alpha 90.00
_cell_angle_beta 90.00
_cell_angle_gamma 120.00
_symmetry_space_group_name_H-M 'P 1'
_symmetry_Int_Tables_number 1
loop_
_symmetry_equiv_pos_as_xyz
'x,y,z'
loop_
_atom_site_label
_atom_site_type_symbol
_atom_site_fract_x
_atom_site_fract_y
_atom_site_fract_z
Y1 Y 0.000 0.000 0.000
Y2 Y 0.000 0.000 0.318
Y3 Y 0.333 0.667 0.507
Zr1 Zr 0.333 0.667 0.820
Te1 Te 0.000 0.000 0.673
Te2 Te 0.333 0.667 0.158
C1 C 0.667 0.333 0.414
C2 C 0.667 0.333 0.899
```

magnetic moment = 0.00 μB per formula unit
ρ = 6.23 g/cm3
final energy = -59.534 eV/cell

First-principles (PBE) data for a geometry-optimized ZrTe3C2 structure, as listed in the Open Quantum Materials Database.

```
data_ZrTe3C2
_cell_length_a 10.000
_cell_length_b 10.000
_cell_length_c 8.622
_cell_angle_alpha 99.32
_cell_angle_beta 99.32
_cell_angle_gamma 20.40
_symmetry_space_group_name_H-M 'P 1'
_symmetry_Int_Tables_number 1
loop_
_symmetry_equiv_pos_as_xyz
'x,y,z'
loop_
_atom_site_label
_atom_site_type_symbol
_atom_site_fract_x
_atom_site_fract_y
_atom_site_fract_z
Zr1 Zr 0.123 0.123 0.452
Zr2 Zr 0.877 0.877 0.548
Te1 Te 0.111 0.111 0.106
Te2 Te 0.229 0.229 0.744
Te3 Te 0.442 0.442 0.322
Te4 Te 0.558 0.558 0.678
Te5 Te 0.771 0.771 0.256
Te6 Te 0.889 0.889 0.894
C1 C 0.203 0.203 0.288
C2 C 0.442 0.442 0.576
C3 C 0.558 0.558 0.424
C4 C 0.797 0.797 0.712
```

magnetic moment = 0.00 μB per formula unit
ρ = 5.58 g/cm3
final energy = -66.823 eV/cell

First-principles (PBE) data for a geometry-optimized ThC structure, as listed in the Open Quantum Materials Database.

```
data_ThC
_cell_length_a 3.188
_cell_length_b 3.188
_cell_length_c 3.188
_cell_angle_alpha 90.00
_cell_angle_beta 90.00
_cell_angle_gamma 90.00
_symmetry_space_group_name_H-M 'P 1'
_symmetry_Int_Tables_number 1
loop_
_symmetry_equiv_pos_as_xyz
'x,y,z'
loop_
_atom_site_label
_atom_site_type_symbol
_atom_site_fract_x
_atom_site_fract_y
_atom_site_fract_z
Th1 Th 0.000 0.000 0.000
C1 C 0.500 0.500 0.500
```

magnetic moment = 0.00 μB per formula unit
ρ = 12.51 g/cm3
final energy = -15.900 eV/cell
E above lowest polymorph = 1.29 eV/f.u.

First-principles (PBE) data for a geometry-optimized ThC structure, as listed in the Open Quantum Materials Database.

```
data_ThC
_cell_length_a 3.988
_cell_length_b 3.988
_cell_length_c 3.988
_cell_angle_alpha 60.00
_cell_angle_beta 60.00
_cell_angle_gamma 60.00
_symmetry_space_group_name_H-M 'P 1'
_symmetry_Int_Tables_number 1
loop_
_symmetry_equiv_pos_as_xyz
'x,y,z'
loop_
_atom_site_label
_atom_site_type_symbol
_atom_site_fract_x
_atom_site_fract_y
_atom_site_fract_z
Th1 Th 0.000 0.000 0.000
C1 C 0.250 0.250 0.250
```

magnetic moment = 0.00 μB per formula unit
ρ = 9.04 g/cm3
final energy = -16.778 eV/cell
E above lowest polymorph = 0.41 eV/f.u.

First-principles (PBE) data for a geometry-optimized ThC structure, as listed in the Open Quantum Materials Database.

```
data_ThC
_cell_length_a 3.779
_cell_length_b 3.779
_cell_length_c 3.779
_cell_angle_alpha 60.00
_cell_angle_beta 60.00
_cell_angle_gamma 60.00
_symmetry_space_group_name_H-M 'P 1'
_symmetry_Int_Tables_number 1
loop_
_symmetry_equiv_pos_as_xyz
'x,y,z'
loop_
_atom_site_label
_atom_site_type_symbol
_atom_site_fract_x
_atom_site_fract_y
_atom_site_fract_z
Th1 Th 0.000 0.000 0.000
C1 C 0.500 0.500 0.500
```

magnetic moment = 0.00 μB per formula unit
ρ = 10.62 g/cm3
final energy = -17.191 eV/cell
E above lowest polymorph = 0.00 eV/f.u.